Density functional theory data (PBE-GGA) for crystalline ThSnHgPt at its relaxed geometry.

Structure (POSCAR):
```
ThSnHgPt
1.0
7.2120 0.0000 0.0000
0.0000 7.2120 0.0000
0.0000 0.0000 7.2120
Th Sn Hg Pt
4 4 4 4
Direct
0.0000 0.0000 0.0000
0.0000 0.5000 0.5000
0.5000 0.0000 0.5000
0.5000 0.5000 0.0000
0.0000 0.0000 0.5000
0.0000 0.5000 0.0000
0.5000 0.0000 0.0000
0.5000 0.5000 0.5000
0.2500 0.2500 0.2500
0.2500 0.7500 0.7500
0.7500 0.2500 0.7500
0.7500 0.7500 0.2500
0.2500 0.2500 0.7500
0.2500 0.7500 0.2500
0.7500 0.2500 0.2500
0.7500 0.7500 0.7500
```

Properties
* SG: F-43m, No. 216
* ΔE_f: -226 kJ/mol of formula units